1.
# LaThU

A geometry-optimized LaThU structure (GGA-PBE, OQMD).

Cell and atoms, written as CIF:
```
data_LaThU
_chemical_formula_sum 'La4 Th4 U4'
_cell_length_a 7.432
_cell_length_b 7.432
_cell_length_c 7.432
_cell_angle_alpha 90.00
_cell_angle_beta 90.00
_cell_angle_gamma 90.00
_symmetry_space_group_name_H-M 'F -4 3 m'
_symmetry_Int_Tables_number 216
_symmetry_space_group_name_Hall 'F -4 2 3'
loop_
_atom_site_label
_atom_site_type_symbol
_atom_site_fract_x
_atom_site_fract_y
_atom_site_fract_z
La1 La 0.000 0.000 0.000
Th1 Th 0.000 0.000 0.500
U1 U 0.250 0.250 0.250
```

=====

2.
# LaYTh (GGA-PBE, optimized geometry)
# excess energy over the best structure of this formula in the dataset = 0.0 meV/atom
data_LaYTh
_chemical_formula_sum 'La4 Y4 Th4'
_cell_length_a 7.741
_cell_length_b 7.741
_cell_length_c 7.741
_cell_angle_alpha 90.00
_cell_angle_beta 90.00
_cell_angle_gamma 90.00
_symmetry_space_group_name_H-M 'F -4 3 m'
_symmetry_Int_Tables_number 216
_symmetry_space_group_name_Hall 'F -4 2 3'
loop_
_atom_site_label
_atom_site_type_symbol
_atom_site_fract_x
_atom_site_fract_y
_atom_site_fract_z
La1 La 0.000 0.000 0.000
Y1 Y 0.250 0.250 0.250
Th1 Th 0.000 0.000 0.500

=====

The records above yield DFT total energy values of -6.78, -5.49 eV per atom, respectively.
The records above yield ρ values of 9.85, 6.58 g cm⁻³, respectively.
The records above yield E_form values of 1100, 777 meV/atom, respectively.